Entry 1:
## Sr2SiRu (SCAN)

Data for a PBEsol-optimized structure of Sr2SiRu.

Values from the calculation:
**Energy**: -21.9593 eV/atom

Unit cell a=3.7508 b=3.9189 c=6.3147 alpha=90.00 beta=90.00 gamma=90.00
Last column: nearest neighbours and their distance in Å.
Positions (direct):
Sr  0.0000  0.0000  0.2457  2 Sr 3.10-3.21, 4 Ru 3.12, 4 Si 3.15
Sr  0.0000  0.0000  0.7543  2 Sr 3.10-3.21, 4 Ru 3.12, 4 Si 3.15
Si  0.5000  0.5000  0.5000  8 Sr 3.15, 2 Ru 3.16
Ru  0.5000  0.5000  0.0000  8 Sr 3.12, 2 Si 3.16

=====

Entry 2:
## Sr2SiRu (SCAN)

Data for a PBEsol-optimized structure of Sr2SiRu.

Values from the calculation:
**Energy**: -22.6990 eV/atom

Unit cell a=4.1038 b=4.1038 c=8.6130 alpha=103.90 beta=103.90 gamma=60.02
Last column: nearest neighbours and their distance in Å.
Positions (direct):
Sr  0.0000  0.0000  0.0000  3 Ru 3.20, 3 Si 3.20
Sr  0.1750  0.1750  0.5207  3 Si 3.20, 3 Ru 3.21
Si  0.7541  0.7541  0.2605  3 Ru 2.37
Ru  0.4205  0.4205  0.2596  3 Si 2.37

=====

Entry 3:
## SrSiRu2 (SCAN)

Data for a PBEsol-optimized structure of SrSiRu2.

Values from the calculation:
**Energy**: -24.8483 eV/atom

Unit cell a=5.2527 b=5.2527 c=2.8524 alpha=104.63 beta=104.63 gamma=111.43
Last column: nearest neighbours and their distance in Å.
Positions (direct):
Sr  0.0000  0.0000  0.0000  4 Ru 2.65, 2 Sr 2.85, 2 Si 2.96
Si  0.5000  0.5000  0.0000  4 Ru 2.65, 2 Si 2.85, 2 Sr 2.96
Ru  0.0000  0.5000  0.5000  2 Sr 2.65, 2 Si 2.65, 4 Ru 2.85-2.96
Ru  0.5000  0.0000  0.5000  2 Sr 2.65, 2 Si 2.65, 4 Ru 2.85-2.96

=====

Entry 4:
## Ta2SiRu (SCAN)

Data for a PBEsol-optimized structure of Ta2SiRu.

Values from the calculation:
**Energy**: -44.8000 eV/atom

Unit cell a=5.1961 b=5.1961 c=5.1961 alpha=138.41 beta=138.41 gamma=60.28
Last column: nearest neighbours and their distance in Å.
Positions (direct):
Ta  0.0000  0.0000  0.0000  4 Ru 2.61, 4 Ta 2.91, 4 Si 2.91
Ta  0.7500  0.2500  0.5000  4 Si 2.61, 4 Ru 2.91, 4 Ta 2.91
Si  0.2500  0.7500  0.5000  8 Ta 2.61-2.91, 4 Ru 2.91
Ru  0.5000  0.5000  0.0000  8 Ta 2.61-2.91, 4 Si 2.91

=====

- Which value of energy does entry 1 give?
  -21.9593 eV/atom

=====

- Among the records above, which one has the highest energy?
  number 1

=====

- The highest energy belongs to which entry?
  number 1

=====

- Among the records above, which one has the highest energy?
  number 1